(1)
# Os3PtI, optimized geometry, DFT PBE
data_Os3PtI
_chemical_formula_sum 'Os3 Pt1 I1'
_symmetry_space_group_name_H-M 'P 1'
_symmetry_Int_Tables_number 1
_symmetry_space_group_name_Hall 'P 1'
_cell_length_a 4.819
_cell_length_b 4.819
_cell_length_c 4.819
_cell_angle_alpha 90.00
_cell_angle_beta 90.00
_cell_angle_gamma 90.00
loop_
_atom_site_label
_atom_site_type_symbol
_atom_site_fract_x
_atom_site_fract_y
_atom_site_fract_z
_atom_site_occupancy
I1 I 0.500 0.500 0.500 1
Os1 Os 0.000 0.500 0.000 1
Os2 Os 0.000 0.000 0.500 1
Os3 Os 0.500 0.000 0.000 1
Pt1 Pt 0.000 0.000 0.000 1
# - Crystal system: cubic
# - Distance to the lowest polymorph of the same formula: 0.0 kJ per mole of atoms
# - Total magnetization: 0.0 Bohr magnetons per cell
# - Space-group type: No. 221
# - VASP energy: -5.581 eV/atom
# - Formation energy from raw total energies: 2.67 eV/atom
# - Calculated volume: 111.9 Å³/f.u.
# - ρ: 13.2 g/cm3



(2)
# Cu4SiIr, optimized geometry, DFT PBE
data_Cu4SiIr
_chemical_formula_sum 'Cu4 Si1 Ir1'
_symmetry_space_group_name_H-M 'P 1'
_symmetry_Int_Tables_number 1
_symmetry_space_group_name_Hall 'P 1'
_cell_length_a 4.755
_cell_length_b 4.755
_cell_length_c 4.755
_cell_angle_alpha 60.00
_cell_angle_beta 60.00
_cell_angle_gamma 60.00
loop_
_atom_site_label
_atom_site_type_symbol
_atom_site_fract_x
_atom_site_fract_y
_atom_site_fract_z
_atom_site_occupancy
Cu1 Cu 0.875 0.375 0.375 1
Cu2 Cu 0.375 0.375 0.875 1
Cu3 Cu 0.375 0.875 0.375 1
Cu4 Cu 0.375 0.375 0.375 1
Si1 Si 0.000 0.000 0.000 1
Ir1 Ir 0.750 0.750 0.750 1
# - Crystal system: cubic
# - Total magnetization: 0.0 Bohr magnetons per cell
# - Space-group type: No. 216
# - VASP energy: -4.898 eV/atom
# - Formation energy from raw total energies: 0.21 eV/atom
# - Calculated volume: 76.0 Å³/f.u.
# - ρ: 10.4 g/cm3



(3)
# Ir2AuCl, optimized geometry, DFT PBE
data_Ir2AuCl
_chemical_formula_sum 'Ir4 Au2 Cl2'
_symmetry_space_group_name_H-M 'P 1'
_symmetry_Int_Tables_number 1
_symmetry_space_group_name_Hall 'P 1'
_cell_length_a 4.540
_cell_length_b 4.540
_cell_length_c 8.334
_cell_angle_alpha 74.19
_cell_angle_beta 74.19
_cell_angle_gamma 90.00
loop_
_atom_site_label
_atom_site_type_symbol
_atom_site_fract_x
_atom_site_fract_y
_atom_site_fract_z
_atom_site_occupancy
Ir1 Ir 0.507 0.125 0.250 1
Ir2 Ir 0.243 0.625 0.250 1
Ir3 Ir 0.375 0.493 0.750 1
Ir4 Ir 0.875 0.757 0.750 1
Au1 Au 0.000 0.000 0.000 1
Au2 Au 0.750 0.250 0.500 1
Cl1 Cl 0.500 0.500 0.000 1
Cl2 Cl 0.250 0.750 0.500 1
# - Crystal system: tetragonal
# - Distance to the lowest polymorph of the same formula: 66.8 kJ per mole of atoms
# - Total magnetization: 0.0 Bohr magnetons per cell
# - Space-group type: No. 122
# - VASP energy: -4.694 eV/atom
# - Formation energy from raw total energies: 1.02 eV/atom
# - Calculated volume: 79.3 Å³/f.u.
# - ρ: 12.9 g/cm3



(4)
# LaPr2Tm6, optimized geometry, DFT PBE
data_LaPr2Tm6
_chemical_formula_sum 'La2 Pr4 Tm12'
_symmetry_space_group_name_H-M 'P 1'
_symmetry_Int_Tables_number 1
_symmetry_space_group_name_Hall 'P 1'
_cell_length_a 6.593
_cell_length_b 9.546
_cell_length_c 9.546
_cell_angle_alpha 95.12
_cell_angle_beta 81.85
_cell_angle_gamma 81.85
loop_
_atom_site_label
_atom_site_type_symbol
_atom_site_fract_x
_atom_site_fract_y
_atom_site_fract_z
_atom_site_occupancy
La1 La 0.250 0.121 0.879 1
La2 La 0.750 0.879 0.121 1
Pr1 Pr 0.126 0.613 0.671 1
Pr2 Pr 0.374 0.329 0.387 1
Pr3 Pr 0.874 0.387 0.329 1
Pr4 Pr 0.626 0.671 0.613 1
Tm1 Tm 0.498 0.657 0.278 1
Tm2 Tm 0.002 0.722 0.343 1
Tm3 Tm 0.502 0.343 0.722 1
Tm4 Tm 0.998 0.278 0.657 1
Tm5 Tm 0.738 0.056 0.463 1
Tm6 Tm 0.762 0.537 0.944 1
Tm7 Tm 0.262 0.944 0.537 1
Tm8 Tm 0.238 0.463 0.056 1
Tm9 Tm 0.319 0.780 0.954 1
Tm10 Tm 0.181 0.046 0.220 1
Tm11 Tm 0.681 0.220 0.046 1
Tm12 Tm 0.819 0.954 0.780 1
# - Crystal system: monoclinic
# - Distance to the lowest polymorph of the same formula: 2.3 kJ per mole of atoms
# - Total magnetization: 0.0 Bohr magnetons per cell
# - Space-group type: No. 15
# - VASP energy: -4.488 eV/atom
# - Calculated volume: 292.5 Å³/f.u.
# - ρ: 8.1 g/cm3



(5)
# NaPaGe2O8, optimized geometry, DFT PBE
data_NaPaGe2O8
_chemical_formula_sum 'Na1 Pa1 Ge2 O8'
_symmetry_space_group_name_H-M 'P 1'
_symmetry_Int_Tables_number 1
_symmetry_space_group_name_Hall 'P 1'
_cell_length_a 6.007
_cell_length_b 6.007
_cell_length_c 6.007
_cell_angle_alpha 107.09
_cell_angle_beta 107.09
_cell_angle_gamma 114.35
loop_
_atom_site_label
_atom_site_type_symbol
_atom_site_fract_x
_atom_site_fract_y
_atom_site_fract_z
_atom_site_occupancy
Na1 Na 0.000 0.000 0.000 1
Pa1 Pa 0.250 0.750 0.500 1
Ge1 Ge 0.750 0.250 0.500 1
Ge2 Ge 0.500 0.500 0.000 1
O1 O 0.382 0.066 0.317 1
O2 O 0.343 0.546 0.203 1
O3 O 0.343 0.140 0.797 1
O4 O 0.749 0.066 0.683 1
O5 O 0.860 0.657 0.203 1
O6 O 0.934 0.251 0.317 1
O7 O 0.934 0.618 0.683 1
O8 O 0.454 0.657 0.797 1
# - Crystal system: tetragonal
# - Total magnetization: 2.0 Bohr magnetons per cell
# - Space-group type: No. 119
# - VASP energy: -6.832 eV/atom
# - Formation energy from raw total energies: -1.86 eV/atom
# - Calculated volume: 165.9 Å³/f.u.
# - ρ: 5.3 g/cm3



(6)
# PrHfPb2, optimized geometry, DFT PBE
data_PrHfPb2
_chemical_formula_sum 'Pr1 Hf1 Pb2'
_symmetry_space_group_name_H-M 'P 1'
_symmetry_Int_Tables_number 1
_symmetry_space_group_name_Hall 'P 1'
_cell_length_a 3.429
_cell_length_b 3.429
_cell_length_c 9.097
_cell_angle_alpha 90.00
_cell_angle_beta 90.00
_cell_angle_gamma 90.00
loop_
_atom_site_label
_atom_site_type_symbol
_atom_site_fract_x
_atom_site_fract_y
_atom_site_fract_z
_atom_site_occupancy
Pb1 Pb 0.000 0.000 0.770 1
Pb2 Pb 0.000 0.000 0.230 1
Pr1 Pr 0.500 0.500 0.500 1
Hf1 Hf 0.500 0.500 0.000 1
# - Crystal system: tetragonal
# - Distance to the lowest polymorph of the same formula: 0.0 kJ per mole of atoms
# - Total magnetization: 0.2 Bohr magnetons per cell
# - Space-group type: No. 123
# - VASP energy: -5.711 eV/atom
# - Calculated volume: 107.0 Å³/f.u.
# - ρ: 11.4 g/cm3



(7)
# MoP2Os, optimized geometry, DFT PBE
data_MoP2Os
_chemical_formula_sum 'Mo1 P2 Os1'
_symmetry_space_group_name_H-M 'P 1'
_symmetry_Int_Tables_number 1
_symmetry_space_group_name_Hall 'P 1'
_cell_length_a 4.368
_cell_length_b 3.010
_cell_length_c 4.193
_cell_angle_alpha 90.00
_cell_angle_beta 90.00
_cell_angle_gamma 90.00
loop_
_atom_site_label
_atom_site_type_symbol
_atom_site_fract_x
_atom_site_fract_y
_atom_site_fract_z
_atom_site_occupancy
Mo1 Mo 0.000 0.375 0.498 1
Os1 Os 0.500 0.875 0.757 1
P1 P 0.000 0.875 0.009 1
P2 P 0.500 0.375 0.235 1
# - Crystal system: orthorhombic
# - Distance to the lowest polymorph of the same formula: 0.0 kJ per mole of atoms
# - Total magnetization: 0.0 Bohr magnetons per cell
# - Space-group type: No. 25
# - VASP energy: -8.465 eV/atom
# - Calculated volume: 55.1 Å³/f.u.
# - ρ: 10.5 g/cm3



(8)
# AgO2F, optimized geometry, DFT PBE
data_AgO2F
_chemical_formula_sum 'Ag1 O2 F1'
_symmetry_space_group_name_H-M 'P 1'
_symmetry_Int_Tables_number 1
_symmetry_space_group_name_Hall 'P 1'
_cell_length_a 3.824
_cell_length_b 3.824
_cell_length_c 3.824
_cell_angle_alpha 60.00
_cell_angle_beta 60.00
_cell_angle_gamma 60.00
loop_
_atom_site_label
_atom_site_type_symbol
_atom_site_fract_x
_atom_site_fract_y
_atom_site_fract_z
_atom_site_occupancy
O1 O 0.250 0.250 0.250 1
O2 O 0.750 0.750 0.750 1
Ag1 Ag 0.500 0.500 0.500 1
F1 F 0.000 0.000 0.000 1
# - Crystal system: cubic
# - Distance to the lowest polymorph of the same formula: 108.9 kJ per mole of atoms
# - Total magnetization: 0.0 Bohr magnetons per cell
# - Space-group type: No. 225
# - VASP energy: -2.980 eV/atom
# - Formation energy from raw total energies: 0.68 eV/atom
# - Calculated volume: 39.5 Å³/f.u.
# - ρ: 6.7 g/cm3



(9)
# BaLiAl3, optimized geometry, DFT PBE
data_BaLiAl3
_chemical_formula_sum 'Ba1 Li1 Al3'
_symmetry_space_group_name_H-M 'P 1'
_symmetry_Int_Tables_number 1
_symmetry_space_group_name_Hall 'P 1'
_cell_length_a 6.059
_cell_length_b 6.059
_cell_length_c 6.059
_cell_angle_alpha 90.00
_cell_angle_beta 90.00
_cell_angle_gamma 90.00
loop_
_atom_site_label
_atom_site_type_symbol
_atom_site_fract_x
_atom_site_fract_y
_atom_site_fract_z
_atom_site_occupancy
Li1 Li 0.500 0.500 0.500 1
Ba1 Ba 0.000 0.000 0.000 1
Al1 Al 0.000 0.500 0.000 1
Al2 Al 0.000 0.000 0.500 1
Al3 Al 0.500 0.000 0.000 1
# - Crystal system: cubic
# - Distance to the lowest polymorph of the same formula: 132.5 kJ per mole of atoms
# - Total magnetization: 0.0 Bohr magnetons per cell
# - Space-group type: No. 221
# - VASP energy: -1.759 eV/atom
# - Calculated volume: 222.4 Å³/f.u.
# - ρ: 1.7 g/cm3



(10)
# YMgGa2, optimized geometry, DFT PBE
data_YMgGa2
_chemical_formula_sum 'Y1 Mg1 Ga2'
_symmetry_space_group_name_H-M 'P 1'
_symmetry_Int_Tables_number 1
_symmetry_space_group_name_Hall 'P 1'
_cell_length_a 3.493
_cell_length_b 3.493
_cell_length_c 6.856
_cell_angle_alpha 90.00
_cell_angle_beta 90.00
_cell_angle_gamma 90.00
loop_
_atom_site_label
_atom_site_type_symbol
_atom_site_fract_x
_atom_site_fract_y
_atom_site_fract_z
_atom_site_occupancy
Y1 Y 0.500 0.500 0.500 1
Mg1 Mg 0.500 0.500 0.000 1
Ga1 Ga 0.000 0.000 0.779 1
Ga2 Ga 0.000 0.000 0.221 1
# - Crystal system: tetragonal
# - Total magnetization: 0.0 Bohr magnetons per cell
# - Space-group type: No. 123
# - VASP energy: -3.907 eV/atom
# - Calculated volume: 83.7 Å³/f.u.
# - ρ: 5.0 g/cm3



(11)
# CsTl2SnAu, optimized geometry, DFT PBE
data_CsTl2SnAu
_chemical_formula_sum 'Cs1 Tl2 Sn1 Au1'
_symmetry_space_group_name_H-M 'P 1'
_symmetry_Int_Tables_number 1
_symmetry_space_group_name_Hall 'P 1'
_cell_length_a 6.018
_cell_length_b 6.018
_cell_length_c 5.484
_cell_angle_alpha 90.00
_cell_angle_beta 90.00
_cell_angle_gamma 90.00
loop_
_atom_site_label
_atom_site_type_symbol
_atom_site_fract_x
_atom_site_fract_y
_atom_site_fract_z
_atom_site_occupancy
Cs1 Cs 0.500 0.500 0.500 1
Tl1 Tl 0.000 0.500 0.000 1
Tl2 Tl 0.500 0.000 0.000 1
Au1 Au 0.000 0.000 0.500 1
Sn1 Sn 0.000 0.000 0.000 1
# - Crystal system: tetragonal
# - Total magnetization: 0.0 Bohr magnetons per cell
# - Space-group type: No. 123
# - VASP energy: -2.548 eV/atom
# - Calculated volume: 198.6 Å³/f.u.
# - ρ: 7.2 g/cm3



(12)
# IrC3, optimized geometry, DFT PBE
data_IrC3
_chemical_formula_sum 'Ir1 C3'
_symmetry_space_group_name_H-M 'P 1'
_symmetry_Int_Tables_number 1
_symmetry_space_group_name_Hall 'P 1'
_cell_length_a 3.576
_cell_length_b 2.759
_cell_length_c 3.947
_cell_angle_alpha 90.00
_cell_angle_beta 90.00
_cell_angle_gamma 90.00
loop_
_atom_site_label
_atom_site_type_symbol
_atom_site_fract_x
_atom_site_fract_y
_atom_site_fract_z
_atom_site_occupancy
C1 C 0.802 0.500 0.039 1
C2 C 0.198 0.500 0.039 1
C3 C 0.500 0.500 0.288 1
Ir1 Ir 0.500 0.000 0.719 1
# - Crystal system: orthorhombic
# - Distance to the lowest polymorph of the same formula: 23.4 kJ per mole of atoms
# - Total magnetization: 0.0 Bohr magnetons per cell
# - Space-group type: No. 25
# - VASP energy: -8.174 eV/atom
# - Calculated volume: 38.9 Å³/f.u.
# - ρ: 9.7 g/cm3



Question: Which formula does entry 5 have?
Answer: NaPaGe2O8



Question: Among the records above, which one has the highest VASP energy?
Answer: BaLiAl3



Question: Among the records above, which one has the highest ρ?
Answer: Os3PtI



Repeat the fifth record exactly.
# NaPaGe2O8, optimized geometry, DFT PBE
data_NaPaGe2O8
_chemical_formula_sum 'Na1 Pa1 Ge2 O8'
_symmetry_space_group_name_H-M 'P 1'
_symmetry_Int_Tables_number 1
_symmetry_space_group_name_Hall 'P 1'
_cell_length_a 6.007
_cell_length_b 6.007
_cell_length_c 6.007
_cell_angle_alpha 107.09
_cell_angle_beta 107.09
_cell_angle_gamma 114.35
loop_
_atom_site_label
_atom_site_type_symbol
_atom_site_fract_x
_atom_site_fract_y
_atom_site_fract_z
_atom_site_occupancy
Na1 Na 0.000 0.000 0.000 1
Pa1 Pa 0.250 0.750 0.500 1
Ge1 Ge 0.750 0.250 0.500 1
Ge2 Ge 0.500 0.500 0.000 1
O1 O 0.382 0.066 0.317 1
O2 O 0.343 0.546 0.203 1
O3 O 0.343 0.140 0.797 1
O4 O 0.749 0.066 0.683 1
O5 O 0.860 0.657 0.203 1
O6 O 0.934 0.251 0.317 1
O7 O 0.934 0.618 0.683 1
O8 O 0.454 0.657 0.797 1
# - Crystal system: tetragonal
# - Total magnetization: 2.0 Bohr magnetons per cell
# - Space-group type: No. 119
# - VASP energy: -6.832 eV/atom
# - Formation energy from raw total energies: -1.86 eV/atom
# - Calculated volume: 165.9 Å³/f.u.
# - ρ: 5.3 g/cm3